No. 1
# Rb2LiH6Os

Crystalline Rb2LiH6Os at its relaxed geometry (PBE, Alexandria).

Summary:
Total DFT energy (no corrections), eV per atom: -3.725
SG: P-3m1, No. 164

The structure in POSCAR format:
```
Rb2LiH6Os
1.0
5.028 0.000 0.000
0.000 5.985 0.000
0.000 -2.992 5.183
Rb Li H Os
2 1 6 1
Direct
0.238 0.333 0.667
0.762 0.667 0.333
0.500 0.000 0.000
0.793 0.135 0.269
0.793 0.135 0.865
0.793 0.731 0.865
0.207 0.865 0.135
0.207 0.269 0.135
0.207 0.865 0.731
0.000 0.000 0.000
```


No. 2
# LiSm2H6Os

Crystalline LiSm2H6Os at its relaxed geometry (PBE, Alexandria).

Summary:
Total DFT energy (no corrections), eV per atom: -4.643
SG: P-3m1, No. 164

The structure in POSCAR format:
```
LiSm2H6Os
1.0
-1.901 1.303 6.003
-2.886 -3.757 -0.098
4.464 -0.480 1.518
Li Sm H Os
1 2 6 1
Direct
0.500 0.000 0.000
0.219 0.333 0.667
0.781 0.667 0.333
0.840 0.170 0.340
0.840 0.170 0.830
0.840 0.660 0.830
0.160 0.830 0.170
0.160 0.340 0.170
0.160 0.830 0.660
0.000 0.000 0.000
```


Repeat the first record exactly.
# Rb2LiH6Os

Crystalline Rb2LiH6Os at its relaxed geometry (PBE, Alexandria).

Summary:
Total DFT energy (no corrections), eV per atom: -3.725
SG: P-3m1, No. 164

The structure in POSCAR format:
```
Rb2LiH6Os
1.0
5.028 0.000 0.000
0.000 5.985 0.000
0.000 -2.992 5.183
Rb Li H Os
2 1 6 1
Direct
0.238 0.333 0.667
0.762 0.667 0.333
0.500 0.000 0.000
0.793 0.135 0.269
0.793 0.135 0.865
0.793 0.731 0.865
0.207 0.865 0.135
0.207 0.269 0.135
0.207 0.865 0.731
0.000 0.000 0.000
```


> Number 1 is which compound?

Rb2LiH6Os


> Look up the total DFT energy (no corrections) of the first one.

-3.725 eV per atom


> What is the formula in the second record?

LiSm2H6Os